Arrangement 1

First-principles (PBE) data for Sr2TaCo after structural relaxation, as listed in Alexandria.

Calculated values
Crystal system: tetragonal

Geometry as POSCAR:
```
Sr2TaCo
1.0
4.2318 0.0000 0.0000
0.0000 4.2318 0.0000
0.0000 0.0000 5.2535
Sr Ta Co
2 1 1
Direct
0.0000 0.5000 0.0000 Sr
0.5000 0.0000 0.0000 Sr
0.0000 0.0000 0.5000 Ta
0.5000 0.5000 0.5000 Co
```

=====

Arrangement 2

First-principles (PBE) data for Sr2TaCo after structural relaxation, as listed in Alexandria.

Calculated values
Crystal system: tetragonal

Geometry as POSCAR:
```
Sr2TaCo
1.0
3.2390 0.0000 0.0000
0.0000 3.2390 0.0000
0.0000 0.0000 9.6368
Sr Ta Co
2 1 1
Direct
0.0000 0.0000 0.2198 Sr
0.0000 0.0000 0.7802 Sr
0.5000 0.5000 0.5000 Ta
0.5000 0.5000 0.0000 Co
```

=====

Arrangement 3

First-principles (PBE) data for Sr2TaCo after structural relaxation, as listed in Alexandria.

Calculated values
Crystal system: monoclinic

Geometry as POSCAR:
```
Sr2TaCo
1.0
3.1878 0.0000 0.0000
0.0000 4.9695 0.0000
-0.0313 0.0000 6.3226
Sr Ta Co
2 1 1
Direct
0.0016 0.0000 0.2585 Sr
0.9984 0.0000 0.7415 Sr
0.5000 0.5000 0.0000 Ta
0.5000 0.5000 0.5000 Co
```

=====

Looking at the structures above, which would you pick as the most stable? I would pick arrangement 2.